# 1
## AgBr3N (GGA-PBE)

Data for crystalline AgBr3N at its relaxed geometry.

* energy above the lowest structure with this stoichiometry: 306 kJ/mol of formula units
* energy: -2.16 eV per atom
* ΔE_f (raw): 1.08 eV/atom
* magnetization: 2.9 μB/f.u.

Cell: 5.3079 5.3079 5.3079 Å, 90.00 90.00 90.00°
Last column: nearest neighbours and their distance in Å.
Space group Pm-3m (No. 221)
Asymmetric unit:
Ag (0.0000, 0.0000, 0.0000) x1  6 Br 2.65
Br (0.0000, 0.0000, 0.5000) x3  2 Ag 2.65
N (0.5000, 0.5000, 0.5000) x1  12 Br 3.75

=====

# 2
## Ag3BrN (GGA-PBE)

Data for crystalline Ag3BrN at its relaxed geometry.

* energy above the lowest structure with this stoichiometry: 0 kJ/mol of formula units
* energy: -3.17 eV per atom
* ΔE_f (raw): 0.54 eV/atom
* magnetization: 0.0 μB/f.u.

Cell: 4.5026 4.5026 4.5026 Å, 90.00 90.00 90.00°
Last column: nearest neighbours and their distance in Å.
Space group Pm-3m (No. 221)
Asymmetric unit:
Ag (0.0000, 0.0000, 0.5000) x3  2 N 2.25
Br (0.5000, 0.5000, 0.5000) x1  12 Ag 3.18
N (0.0000, 0.0000, 0.0000) x1  6 Ag 2.25

=====

# 3
## AgBrN2 (GGA-PBE)

Data for crystalline AgBrN2 at its relaxed geometry.

* energy above the lowest structure with this stoichiometry: 0 kJ/mol of formula units
* energy: -5.43 eV per atom
* ΔE_f (raw): -0.13 eV/atom
* magnetization: 0.0 μB/f.u.

Cell: 4.5389 4.5689 7.5636 Å, 81.20 88.81 60.32°
Last column: nearest neighbours and their distance in Å.
Space group P1 (No. 1)
Asymmetric unit:
Ag (0.0000, 0.0000, 0.0000) x1  3 Br 2.63-2.64
Br (0.3330, 0.3339, 0.0118) x1  3 Ag 2.63-2.64
N (0.7495, 0.4884, 0.4573) x1  1 N 1.11
N (0.8752, 0.2468, 0.5557) x1  1 N 1.11

=====

# 4
## AgBrN2 (GGA-PBE)

Data for crystalline AgBrN2 at its relaxed geometry.

* energy above the lowest structure with this stoichiometry: 642 kJ/mol of formula units
* energy: -3.76 eV per atom
* ΔE_f (raw): 1.53 eV/atom
* magnetization: 0.0 μB/f.u.

Cell: 3.4287 3.4287 17.8986 Å, 90.00 90.00 120.00°
Last column: nearest neighbours and their distance in Å.
Space group R-3m (No. 166, hexagonal axes)
Asymmetric unit:
Ag (0.0000, 0.0000, 0.0000) x3  6 N 2.20
Br (0.0000, 0.0000, 0.5000) x3  2 N 2.03
N (0.0000, 0.0000, 0.3868) x6  1 Br 2.03, 3 Ag 2.20

=====

# 5
## AgBrN (GGA-PBE)

Data for crystalline AgBrN at its relaxed geometry.

* energy above the lowest structure with this stoichiometry: 2 kJ/mol of formula units
* energy: -4.49 eV per atom
* ΔE_f (raw): -0.20 eV/atom
* magnetization: 0.0 μB/f.u.

Cell: 11.2021 4.1611 7.7732 Å, 90.00 101.32 90.00°
Last column: nearest neighbours and their distance in Å.
Space group P2_1/c (No. 14)
Asymmetric unit:
Ag (0.0701, 0.1518, 0.3783) x4  3 Br 2.66-2.81, 1 Ag 2.97
Br (0.1651, 0.6129, 0.6237) x4  3 Ag 2.66-2.81
N (0.4754, 0.0802, 0.5386) x4  1 N 1.11

=====

# 6
## Ag2BrN2 (GGA-PBE)

Data for crystalline Ag2BrN2 at its relaxed geometry.

* energy: -4.67 eV per atom
* ΔE_f (raw): 0.13 eV/atom
* magnetization: 0.0 μB/f.u.

Cell: 8.6339 4.9981 8.8117 Å, 90.00 112.99 90.00°
Last column: nearest neighbours and their distance in Å.
Space group C2/m (No. 12)
Asymmetric unit:
Ag (0.1677, 0.0000, 0.0027) x4  3 Ag 2.88, 3 Br 2.88
Br (0.0000, 0.5000, 0.0000) x2  6 Ag 2.88
N (0.0686, 0.5000, 0.5392) x4  1 N 1.11

=====

# 7
## Ag4Br5N2 (GGA-PBE)

Data for crystalline Ag4Br5N2 at its relaxed geometry.

* energy: -3.51 eV per atom
* ΔE_f (raw): -0.20 eV/atom
* magnetization: 0.0 μB/f.u.

Cell: 7.2206 7.4703 7.8854 Å, 68.05 78.75 72.34°
Last column: nearest neighbours and their distance in Å.
Space group P-1 (No. 2)
Asymmetric unit:
Ag (0.1012, 0.2382, 0.1471) x2  4 Br 2.63-2.84
Ag (0.3852, 0.7810, 0.0349) x2  5 Br 2.69-2.93
Br (0.0000, 0.0000, 0.0000) x1  4 Ag 2.77-2.78
Br (0.2724, 0.5466, 0.8990) x2  4 Ag 2.70-2.87
Br (0.4132, 0.9552, 0.2693) x2  3 Ag 2.63-2.93
N (0.0367, 0.4591, 0.4513) x2  1 N 1.11

=====

# 8
## AgBrN (GGA-PBE)

Data for crystalline AgBrN at its relaxed geometry.

* energy above the lowest structure with this stoichiometry: 0 kJ/mol of formula units
* energy: -4.49 eV per atom
* ΔE_f (raw): -0.21 eV/atom
* magnetization: 0.0 μB/f.u.

Cell: 4.4208 4.4303 11.2310 Å, 96.52 95.77 116.03°
Last column: nearest neighbours and their distance in Å.
Space group P1 (No. 1)
Asymmetric unit:
Ag (0.0000, 0.0000, 0.0000) x1  4 Br 2.67-2.92, 2 Ag 2.98
Ag (0.4205, 0.4165, 0.8324) x1  4 Br 2.67-2.93, 2 Ag 2.98
Br (0.3732, 0.6971, 0.0746) x1  4 Ag 2.67-2.93
Br (0.7232, 0.0399, 0.7579) x1  4 Ag 2.67-2.92
N (0.2726, 0.1307, 0.4467) x1  1 N 1.11
N (0.4741, 0.2432, 0.3902) x1  1 N 1.11